No. 1
First-principles (PBE) data for a relaxed structure of CrSb2Pt, as listed in the Alexandria database.

energy relative to the lowest polymorph listed for this composition = 126.0 meV per atom
formation energy without anion corrections = 29 meV/atom
final energy = -5.949 eV per atom
DOS at the Fermi energy = 0.71 states/eV/atom

Unit cell a=4.2126 b=4.2126 c=17.7855 alpha=90.00 beta=90.00 gamma=120.00
With the nearest neighbours (Å) after each atom.
Space group R3m (No. 160, hexagonal axes)
Asymmetric unit:
Cr1 0.0000 0.0000 0.0000 x3  3 Pt 2.56, 3 Sb 2.76
Sb1 0.0000 0.0000 0.2602 x3  3 Cr 2.76
Sb2 0.0000 0.0000 0.4518 x3  3 Pt 2.76
Pt1 0.0000 0.0000 0.7115 x3  3 Cr 2.56, 3 Sb 2.76


No. 2
First-principles (PBE) data for a relaxed structure of TmPuTe, as listed in the Alexandria database.

energy relative to the lowest polymorph listed for this composition = 0.0 meV per atom
formation energy without anion corrections = -703 meV/atom
final energy = -8.018 eV per atom
DOS at the Fermi energy = 1.75 states/eV/atom

Unit cell a=4.2213 b=4.2213 c=8.8200 alpha=90.00 beta=90.00 gamma=90.00
With the nearest neighbours (Å) after each atom.
Space group P4/nmm (No. 129, origin choice 2)
Asymmetric unit:
Tm1 0.2500 0.2500 0.1328 x2  5 Te 3.05-3.07
Pu1 0.2500 0.7500 0.5000 x2  4 Pu 2.98, 4 Te 3.30
Te1 0.2500 0.2500 0.7874 x2  5 Tm 3.05-3.07, 4 Pu 3.30


No. 3
First-principles (PBE) data for a relaxed structure of Na12AgAu6, as listed in the Alexandria database.

energy relative to the lowest polymorph listed for this composition = 55.9 meV per atom
final energy = -2.179 eV per atom
DOS at the Fermi energy = 0.44 states/eV/atom
energy of formation from the pure elements = -0.161 eV/atom

Unit cell a=10.0404 b=10.0404 c=10.0404 alpha=90.00 beta=90.00 gamma=90.00
With the nearest neighbours (Å) after each atom.
Space group Im-3 (No. 204)
Asymmetric unit:
Na1 0.0000 0.1755 0.2856 x24  3 Au 2.85-3.11
Ag1 0.0000 0.0000 0.0000 x2  12 Na 3.37
Au1 0.0000 0.3621 0.5000 x12  1 Au 2.77, 2 Na 2.85